No. 1
An optimized crystal structure of Ce2PrCu9, computed with GGA-PBE.

The structure in CIF format:
```
data_Ce2PrCu9
_chemical_formula_sum 'Ce6 Pr3 Cu27'
_symmetry_space_group_name_H-M 'R -3 m'
_symmetry_Int_Tables_number 166
_symmetry_space_group_name_Hall '-R 3 2"'
_cell_length_a 5.1976
_cell_length_b 5.1976
_cell_length_c 25.3304
_cell_angle_alpha 90.00
_cell_angle_beta 90.00
_cell_angle_gamma 120.00
loop_
_atom_site_label
_atom_site_fract_x
_atom_site_fract_y
_atom_site_fract_z
Ce1 0.0000 0.0000 0.1482
Pr1 0.0000 0.0000 0.0000
Cu1 0.0000 0.0000 0.3313
Cu2 0.0000 0.0000 0.5000
Cu3 0.0055 0.5028 0.0809
```

- Energy: -4.584 eV per atom
- Energy of formation from the pure elements: -124 meV/atom
- DOS at the Fermi energy: 13.477 states/eV/f.u.

---

No. 2
An optimized crystal structure of CePrCu2, computed with GGA-PBE.

The structure in CIF format:
```
data_CePrCu2
_chemical_formula_sum 'Ce2 Pr2 Cu4'
_symmetry_space_group_name_H-M 'P 1 21/m 1'
_symmetry_Int_Tables_number 11
_cell_length_a 4.020
_cell_length_b 4.154
_cell_length_c 10.851
_cell_angle_alpha 90.00
_cell_angle_beta 100.67
_cell_angle_gamma 90.00
loop_
_symmetry_equiv_pos_as_xyz
'x,y,z'
'-x,-y,-z'
'-x,y+1/2,-z'
'x,-y+1/2,z'
loop_
_atom_site_label
_atom_site_fract_x
_atom_site_fract_y
_atom_site_fract_z
Ce1 0.043 0.250 0.088
Pr1 0.307 0.750 0.613
Cu1 0.147 0.750 0.296
Cu2 0.428 0.250 0.854
```

- Energy: -4.811 eV per atom
- Energy of formation from the pure elements: -84 meV/atom
- DOS at the Fermi energy: 5.871 states/eV/f.u.
- Distance to the lowest polymorph of the same formula: 0 meV per atom